Record 1
SmMgNb: relaxed, GGA-PBE.

## Properties
V   359.41 Å³ per cell

a = 7.1099 Å, b = 7.1099 Å, c = 7.1099 Å
α = 90.00°, β = 90.00°, γ = 90.00°
Last column: nearest neighbours and their distance in Å.
Space group F-43m (No. 216)
Symmetry-distinct sites (fractional):
Sm: 0.0000 0.0000 0.0000 x4  4 Nb 3.08, 4 Mg 3.08
Mg: 0.2500 0.2500 0.7500 x4  4 Sm 3.08
Nb: 0.2500 0.2500 0.2500 x4  4 Sm 3.08

***

Record 2
MgNbSn: relaxed, GGA-PBE.

## Properties
V   292.07 Å³ per cell

a = 6.6348 Å, b = 6.6348 Å, c = 6.6348 Å
α = 90.00°, β = 90.00°, γ = 90.00°
Last column: nearest neighbours and their distance in Å.
Space group F-43m (No. 216)
Symmetry-distinct sites (fractional):
Mg: 0.0000 0.0000 0.0000 x4  4 Sn 2.87
Nb: 0.0000 0.0000 0.5000 x4  4 Sn 2.87
Sn: 0.2500 0.2500 0.2500 x4  4 Nb 2.87, 4 Mg 2.87

***

For reference, total energy by record: -4.1900; -4.7847 eV per atom.